Entry 1:
Material: TlFeMo
Method: DFT, meta-GGA SCAN
State: single point on PBEsol structure

Computed properties:
For the formation energy, the calculation gives 0.537 eV per atom. As for the spin magnetization: 3.37 μB per cell. The density of states at the Fermi level is 4.22 states/eV/cell.

```
data_TlFeMo
_chemical_formula_sum 'Tl2 Fe2 Mo2'
_space_group_name_H-M_alt 'I 4 m m'
_space_group_IT_number 107
_space_group_name_Hall 'I 4 -2'
_cell_length_a 2.953
_cell_length_b 2.953
_cell_length_c 10.907
_cell_angle_alpha 90.00
_cell_angle_beta 90.00
_cell_angle_gamma 90.00
loop_
_atom_site_label
_atom_site_fract_x
_atom_site_fract_y
_atom_site_fract_z
_atom_site_occupancy
Tl1 0.000 0.000 0.000 1
Fe1 0.000 0.000 0.680 1
Mo1 0.000 0.000 0.297 1
```



Entry 2:
Material: ZrCNF2
Method: DFT, meta-GGA SCAN
State: single point on PBEsol structure

Computed properties:
As for the energy above the most stable polymorph in this dataset: 28.4 meV/atom. As for the spin magnetization: 0.00 μB per cell. The density of states at the Fermi level is 2.41 states/eV/cell. As for the formation energy without anion corrections: -569 meV per atom.

```
data_ZrCNF2
_chemical_formula_sum 'Zr1 C1 N1 F2'
_space_group_name_H-M_alt 'P 4/m m m'
_space_group_IT_number 123
_space_group_name_Hall '-P 4 2'
_cell_length_a 4.604
_cell_length_b 4.604
_cell_length_c 2.506
_cell_angle_alpha 90.00
_cell_angle_beta 90.00
_cell_angle_gamma 90.00
loop_
_atom_site_label
_atom_site_fract_x
_atom_site_fract_y
_atom_site_fract_z
_atom_site_occupancy
Zr1 0.000 0.000 0.000 1
C1 0.500 0.500 0.500 1
N1 0.500 0.500 0.000 1
F1 0.000 0.500 0.500 1
```



Entry 3:
Material: K4NaNb5O15
Method: DFT, meta-GGA SCAN
State: single point on PBEsol structure

Computed properties:
As for the spin magnetization: 0.00 μB per cell. The density of states at the Fermi level is 0.00 states/eV/cell. As for the formation energy without anion corrections: -2662 meV per atom.

```
data_K4NaNb5O15
_chemical_formula_sum 'K8 Na2 Nb10 O30'
_space_group_name_H-M_alt 'P 1 m 1'
_space_group_IT_number 6
_cell_length_a 5.709
_cell_length_b 3.985
_cell_length_c 28.639
_cell_angle_alpha 90.00
_cell_angle_beta 90.61
_cell_angle_gamma 90.00
loop_
_space_group_symop_operation_xyz
'x,y,z'
'x,-y,z'
loop_
_atom_site_label
_atom_site_fract_x
_atom_site_fract_y
_atom_site_fract_z
_atom_site_occupancy
K1 0.000 0.000 0.000 1
K2 0.001 0.000 0.600 1
K3 0.004 0.000 0.201 1
K4 0.007 0.000 0.401 1
K5 0.498 0.000 0.900 1
K6 0.502 0.000 0.100 1
K7 0.505 0.000 0.301 1
K8 0.996 0.000 0.799 1
Na1 0.474 0.000 0.706 1
Na2 0.480 0.000 0.507 1
Nb1 0.001 0.500 0.103 1
Nb2 0.004 0.500 0.303 1
Nb3 0.494 0.500 0.801 1
Nb4 0.498 0.500 0.603 1
Nb5 0.499 0.500 0.002 1
Nb6 0.503 0.500 0.203 1
Nb7 0.504 0.500 0.404 1
Nb8 0.992 0.500 0.702 1
Nb9 0.997 0.500 0.902 1
Nb10 0.998 0.500 0.503 1
O1 0.000 0.000 0.895 1
O2 0.004 0.000 0.096 1
O3 0.006 0.000 0.696 1
O4 0.009 0.000 0.297 1
O5 0.013 0.000 0.497 1
O6 0.250 0.500 0.746 1
O7 0.250 0.500 0.946 1
O8 0.252 0.500 0.846 1
O9 0.254 0.500 0.147 1
O10 0.255 0.500 0.047 1
O11 0.255 0.500 0.548 1
O12 0.257 0.500 0.348 1
O13 0.260 0.500 0.248 1
O14 0.263 0.500 0.648 1
O15 0.268 0.500 0.449 1
O16 0.499 0.000 0.794 1
O17 0.502 0.000 0.996 1
O18 0.504 0.000 0.595 1
O19 0.506 0.000 0.196 1
O20 0.509 0.000 0.397 1
O21 0.744 0.500 0.745 1
O22 0.749 0.500 0.546 1
O23 0.750 0.500 0.845 1
O24 0.752 0.500 0.047 1
O25 0.752 0.500 0.946 1
O26 0.756 0.500 0.147 1
O27 0.757 0.500 0.247 1
O28 0.759 0.500 0.347 1
O29 0.761 0.500 0.645 1
O30 0.766 0.500 0.447 1
```



Entry 4:
Material: PtICl2
Method: DFT, meta-GGA SCAN
State: single point on PBEsol structure

Computed properties:
As for the spin magnetization: 0.00 μB per cell. The density of states at the Fermi level is 15.08 states/eV/cell. As for the formation energy without anion corrections: 72 meV per atom.

```
data_PtICl2
_chemical_formula_sum 'Pt4 I4 Cl8'
_space_group_name_H-M_alt 'I -4 2 d'
_space_group_IT_number 122
_space_group_name_Hall 'I -4 2bw'
_cell_length_a 8.307
_cell_length_b 8.307
_cell_length_c 5.625
_cell_angle_alpha 90.00
_cell_angle_beta 90.00
_cell_angle_gamma 90.00
loop_
_atom_site_label
_atom_site_fract_x
_atom_site_fract_y
_atom_site_fract_z
_atom_site_occupancy
Pt1 0.000 0.000 0.000 1
I1 0.000 0.000 0.500 1
Cl1 0.123 0.750 0.125 1
```



Entry 5:
Material: CaPPt3
Method: DFT, meta-GGA SCAN
State: single point on PBEsol structure

Computed properties:
As for the energy above the most stable polymorph in this dataset: 0.0 meV/atom. For the formation energy, the calculation gives -0.986 eV per atom. As for the spin magnetization: 0.00 μB per cell. The density of states at the Fermi level is 5.97 states/eV/cell.

```
data_CaPPt3
_chemical_formula_sum 'Ca2 P2 Pt6'
_space_group_name_H-M_alt 'I 4 m m'
_space_group_IT_number 107
_space_group_name_Hall 'I 4 -2'
_cell_length_a 3.977
_cell_length_b 3.977
_cell_length_c 10.780
_cell_angle_alpha 90.00
_cell_angle_beta 90.00
_cell_angle_gamma 90.00
loop_
_atom_site_label
_atom_site_fract_x
_atom_site_fract_y
_atom_site_fract_z
_atom_site_occupancy
Ca1 0.000 0.000 0.000 1
P1 0.000 0.000 0.625 1
Pt1 0.000 0.000 0.420 1
Pt2 0.000 0.500 0.242 1
```



Entry 6:
Material: YCdIr2
Method: DFT, meta-GGA SCAN
State: single point on PBEsol structure

Computed properties:
For the formation energy, the calculation gives -0.321 eV per atom. As for the spin magnetization: 0.00 μB per cell. The density of states at the Fermi level is 1.89 states/eV/cell.

```
data_YCdIr2
_chemical_formula_sum 'Y1 Cd1 Ir2'
_space_group_name_H-M_alt 'P 4/m m m'
_space_group_IT_number 123
_space_group_name_Hall '-P 4 2'
_cell_length_a 3.344
_cell_length_b 3.344
_cell_length_c 6.346
_cell_angle_alpha 90.00
_cell_angle_beta 90.00
_cell_angle_gamma 90.00
loop_
_atom_site_label
_atom_site_fract_x
_atom_site_fract_y
_atom_site_fract_z
_atom_site_occupancy
Y1 0.000 0.000 0.000 1
Cd1 0.000 0.000 0.500 1
Ir1 0.500 0.500 0.264 1
```



Entry 7:
Material: BaCaIn3
Method: DFT, meta-GGA SCAN
State: single point on PBEsol structure

Computed properties:
For the formation energy, the calculation gives 0.576 eV per atom. As for the spin magnetization: 0.00 μB per cell. The density of states at the Fermi level is 5.20 states/eV/cell.

```
data_BaCaIn3
_chemical_formula_sum 'Ba1 Ca1 In3'
_space_group_name_H-M_alt 'P m -3 m'
_space_group_IT_number 221
_space_group_name_Hall '-P 4 2 3'
_cell_length_a 6.025
_cell_length_b 6.025
_cell_length_c 6.025
_cell_angle_alpha 90.00
_cell_angle_beta 90.00
_cell_angle_gamma 90.00
loop_
_atom_site_label
_atom_site_fract_x
_atom_site_fract_y
_atom_site_fract_z
_atom_site_occupancy
Ba1 0.000 0.000 0.000 1
Ca1 0.500 0.500 0.500 1
In1 0.000 0.000 0.500 1
```



Entry 8:
Material: CaSbP2
Method: DFT, meta-GGA SCAN
State: single point on PBEsol structure

Computed properties:
As for the spin magnetization: 0.00 μB per cell. The density of states at the Fermi level is 2.03 states/eV/cell. As for the formation energy without anion corrections: -342 meV per atom.

```
data_CaSbP2
_chemical_formula_sum 'Ca2 Sb2 P4'
_space_group_name_H-M_alt 'C 1 2/m 1'
_space_group_IT_number 12
_cell_length_a 10.661
_cell_length_b 3.309
_cell_length_c 5.826
_cell_angle_alpha 90.00
_cell_angle_beta 117.82
_cell_angle_gamma 90.00
loop_
_space_group_symop_operation_xyz
'x,y,z'
'-x,-y,-z'
'-x,y,-z'
'x,-y,z'
'x+1/2,y+1/2,z'
'-x+1/2,-y+1/2,-z'
'-x+1/2,y+1/2,-z'
'x+1/2,-y+1/2,z'
loop_
_atom_site_label
_atom_site_fract_x
_atom_site_fract_y
_atom_site_fract_z
_atom_site_occupancy
Ca1 0.000 0.000 0.000 1
Sb1 0.000 0.500 0.500 1
P1 0.239 0.000 0.858 1
```